Entry from Alexandria via LeMat-Bulk: a relaxed structure of AcPmP2 (PBE). Values from VASP.

relative energy among the computed polymorphs	11	kJ/mol of formula units
energy relative to the elements	-1.46	eV per atom
space group	P6_3/mmc, No. 194
V	27.68	Å³/atom
total DFT energy (no corrections)	-6.381	eV/atom

Geometry as Quantum ESPRESSO input:
```
&SYSTEM
  ibrav = 0, nat = 8, ntyp = 3
/
ATOMIC_SPECIES
Ac 227.00 Ac.upf
Pm 145.00 Pm.upf
P 30.97 P.upf
CELL_PARAMETERS angstrom
4.244 0.000 0.000
-2.122 3.676 0.000
0.000 0.000 14.196
ATOMIC_POSITIONS crystal
Ac 0.333 0.667 0.250
Ac 0.667 0.333 0.750
Pm 0.000 0.000 0.000
Pm 0.000 0.000 0.500
P 0.333 0.667 0.616
P 0.333 0.667 0.884
P 0.667 0.333 0.116
P 0.667 0.333 0.384
```

---

Entry from Alexandria via LeMat-Bulk: a relaxed structure of AcPmP2 (PBE). Values from VASP.

relative energy among the computed polymorphs	165	kJ/mol of formula units
energy relative to the elements	-1.06	eV per atom
space group	Fm-3m, No. 225
V	24.67	Å³/atom
total DFT energy (no corrections)	-5.983	eV/atom

Geometry as Quantum ESPRESSO input:
```
&SYSTEM
  ibrav = 0, nat = 4, ntyp = 3
/
ATOMIC_SPECIES
Ac 227.00 Ac.upf
Pm 145.00 Pm.upf
P 30.97 P.upf
CELL_PARAMETERS angstrom
0.000 3.668 3.668
3.668 0.000 3.668
3.668 3.668 0.000
ATOMIC_POSITIONS crystal
Ac 0.000 0.000 0.000
Pm 0.500 0.500 0.500
P 0.250 0.250 0.250
P 0.750 0.750 0.750
```

---

Entry from Alexandria via LeMat-Bulk: a relaxed structure of Ac2PmP (PBE). Values from VASP.

relative energy among the computed polymorphs	107	kJ/mol of formula units
energy relative to the elements	-0.26	eV per atom
space group	P4/mmm, No. 123
V	30.69	Å³/atom
total DFT energy (no corrections)	-4.856	eV/atom

Geometry as Quantum ESPRESSO input:
```
&SYSTEM
  ibrav = 0, nat = 4, ntyp = 3
/
ATOMIC_SPECIES
Ac 227.00 Ac.upf
Pm 145.00 Pm.upf
P 30.97 P.upf
CELL_PARAMETERS angstrom
5.145 0.000 0.000
0.000 5.145 0.000
0.000 0.000 4.637
ATOMIC_POSITIONS crystal
Ac 0.000 0.500 0.000
Ac 0.500 0.000 0.000
Pm 0.000 0.000 0.500
P 0.500 0.500 0.500
```

---

Entry from Alexandria via LeMat-Bulk: a relaxed structure of AcPmP2 (PBE). Values from VASP.

relative energy among the computed polymorphs	64	kJ/mol of formula units
energy relative to the elements	-1.33	eV per atom
space group	R3m, No. 160
V	28.33	Å³/atom
total DFT energy (no corrections)	-6.245	eV/atom

Geometry as Quantum ESPRESSO input:
```
&SYSTEM
  ibrav = 0, nat = 4, ntyp = 3
/
ATOMIC_SPECIES
Ac 227.00 Ac.upf
Pm 145.00 Pm.upf
P 30.97 P.upf
CELL_PARAMETERS angstrom
2.113 1.220 7.325
-2.113 1.220 7.325
0.000 -2.440 7.325
ATOMIC_POSITIONS crystal
Ac 0.000 0.000 0.000
Pm 0.829 0.829 0.829
P 0.417 0.417 0.417
P 0.576 0.576 0.576
```

---

Entry from Alexandria via LeMat-Bulk: a relaxed structure of Ac3PmP (PBE). Values from VASP.

energy relative to the elements	-0.36	eV per atom
space group	Pm-3m, No. 221
V	41.74	Å³/atom
total DFT energy (no corrections)	-4.857	eV/atom

Geometry as Quantum ESPRESSO input:
```
&SYSTEM
  ibrav = 0, nat = 5, ntyp = 3
/
ATOMIC_SPECIES
Ac 227.00 Ac.upf
Pm 145.00 Pm.upf
P 30.97 P.upf
CELL_PARAMETERS angstrom
5.932 0.000 0.000
0.000 5.932 0.000
0.000 0.000 5.932
ATOMIC_POSITIONS crystal
Ac 0.000 0.000 0.500
Ac 0.000 0.500 0.000
Ac 0.500 0.000 0.000
Pm 0.500 0.500 0.500
P 0.000 0.000 0.000
```

---

Entry from Alexandria via LeMat-Bulk: a relaxed structure of Ac3PmP4 (PBE). Values from VASP.

relative energy among the computed polymorphs	13	kJ/mol of formula units
energy relative to the elements	-1.45	eV per atom
space group	Pm-3m, No. 221
V	29.70	Å³/atom
total DFT energy (no corrections)	-6.288	eV/atom

Geometry as Quantum ESPRESSO input:
```
&SYSTEM
  ibrav = 0, nat = 8, ntyp = 3
/
ATOMIC_SPECIES
Ac 227.00 Ac.upf
Pm 145.00 Pm.upf
P 30.97 P.upf
CELL_PARAMETERS angstrom
6.194 0.000 0.000
0.000 6.194 0.000
0.000 0.000 6.194
ATOMIC_POSITIONS crystal
Ac 0.000 0.000 0.500
Ac 0.000 0.500 0.000
Ac 0.500 0.000 0.000
Pm 0.500 0.500 0.500
P 0.000 0.000 0.000
P 0.000 0.500 0.500
P 0.500 0.000 0.500
P 0.500 0.500 0.000
```

---

Entry from Alexandria via LeMat-Bulk: a relaxed structure of AcPm2PrP4 (PBE). Values from VASP.

energy relative to the elements	-1.50	eV per atom
space group	P2/m, No. 10
V	26.80	Å³/atom
total DFT energy (no corrections)	-6.508	eV/atom

Geometry as Quantum ESPRESSO input:
```
&SYSTEM
  ibrav = 0, nat = 8, ntyp = 4
/
ATOMIC_SPECIES
Ac 227.00 Ac.upf
Pm 145.00 Pm.upf
Pr 140.91 Pr.upf
P 30.97 P.upf
CELL_PARAMETERS angstrom
7.329 0.000 0.000
0.000 4.232 0.000
-2.434 0.000 6.914
ATOMIC_POSITIONS crystal
Ac 0.000 0.000 0.000
Pm 0.000 0.500 0.500
Pm 0.500 0.000 0.500
Pr 0.500 0.500 0.000
P 0.252 0.000 0.742
P 0.259 0.500 0.262
P 0.741 0.500 0.738
P 0.748 0.000 0.258
```

---

Entry from Alexandria via LeMat-Bulk: a relaxed structure of AcPmPS (PBE). Values from VASP.

relative energy among the computed polymorphs	32	kJ/mol of formula units
space group	F-43m, No. 216
formation energy without anion corrections	-5.75	eV/f.u.
V	24.03	Å³/atom
total DFT energy (no corrections)	-6.036	eV/atom

Geometry as Quantum ESPRESSO input:
```
&SYSTEM
  ibrav = 0, nat = 4, ntyp = 4
/
ATOMIC_SPECIES
Ac 227.00 Ac.upf
Pm 145.00 Pm.upf
P 30.97 P.upf
S 32.06 S.upf
CELL_PARAMETERS angstrom
0.000 3.636 3.636
3.636 0.000 3.636
3.636 3.636 0.000
ATOMIC_POSITIONS crystal
Ac 0.000 0.000 0.000
Pm 0.500 0.500 0.500
P 0.750 0.750 0.750
S 0.250 0.250 0.250
```

---

Entry from Alexandria via LeMat-Bulk: a relaxed structure of AcPmPS (PBE). Values from VASP.

relative energy among the computed polymorphs	0	kJ/mol of formula units
space group	Imm2, No. 44
formation energy without anion corrections	-6.08	eV/f.u.
V	27.09	Å³/atom
total DFT energy (no corrections)	-6.119	eV/atom

Geometry as Quantum ESPRESSO input:
```
&SYSTEM
  ibrav = 0, nat = 4, ntyp = 4
/
ATOMIC_SPECIES
Ac 227.00 Ac.upf
Pm 145.00 Pm.upf
P 30.97 P.upf
S 32.06 S.upf
CELL_PARAMETERS angstrom
-1.921 1.965 7.180
1.921 -1.965 7.180
1.921 1.965 -7.180
ATOMIC_POSITIONS crystal
Ac 0.000 0.000 0.000
Pm 0.757 0.257 0.500
P 0.336 0.836 0.500
S 0.601 0.601 0.000
```

---

Entry from Alexandria via LeMat-Bulk: a relaxed structure of Ac2PmP2S2 (PBE). Values from VASP.

space group	I4/mmm, No. 139
formation energy without anion corrections	-9.31	eV/f.u.
V	30.06	Å³/atom
total DFT energy (no corrections)	-5.908	eV/atom

Geometry as Quantum ESPRESSO input:
```
&SYSTEM
  ibrav = 0, nat = 7, ntyp = 4
/
ATOMIC_SPECIES
Ac 227.00 Ac.upf
Pm 145.00 Pm.upf
P 30.97 P.upf
S 32.06 S.upf
CELL_PARAMETERS angstrom
-2.622 2.622 7.651
2.622 -2.622 7.651
2.622 2.622 -7.651
ATOMIC_POSITIONS crystal
Ac 0.132 0.132 0.000
Ac 0.868 0.868 0.000
Pm 0.500 0.500 0.000
P 0.000 0.500 0.500
P 0.500 0.000 0.500
S 0.317 0.317 0.000
S 0.683 0.683 0.000
```

---

Entry from Alexandria via LeMat-Bulk: a relaxed structure of AcPmP2S8 (PBE). Values from VASP.

space group	P-3m1, No. 164
formation energy without anion corrections	-10.41	eV/f.u.
V	28.67	Å³/atom
total DFT energy (no corrections)	-5.259	eV/atom

Geometry as Quantum ESPRESSO input:
```
&SYSTEM
  ibrav = 0, nat = 12, ntyp = 4
/
ATOMIC_SPECIES
Ac 227.00 Ac.upf
Pm 145.00 Pm.upf
P 30.97 P.upf
S 32.06 S.upf
CELL_PARAMETERS angstrom
6.661 0.000 0.000
-3.331 5.769 0.000
0.000 0.000 8.952
ATOMIC_POSITIONS crystal
Ac 0.000 0.000 0.000
Pm 0.000 0.000 0.500
P 0.333 0.667 0.194
P 0.667 0.333 0.806
S 0.166 0.331 0.273
S 0.166 0.834 0.273
S 0.331 0.166 0.727
S 0.333 0.667 0.972
S 0.667 0.333 0.028
S 0.669 0.834 0.273
S 0.834 0.166 0.727
S 0.834 0.669 0.727
```

---

Entry from Alexandria via LeMat-Bulk: a relaxed structure of Ac2PmSmP4 (PBE). Values from VASP.

energy relative to the elements	-1.49	eV per atom
space group	P2/m, No. 10
V	27.84	Å³/atom
total DFT energy (no corrections)	-6.406	eV/atom

Geometry as Quantum ESPRESSO input:
```
&SYSTEM
  ibrav = 0, nat = 8, ntyp = 4
/
ATOMIC_SPECIES
Ac 227.00 Ac.upf
Pm 145.00 Pm.upf
Sm 150.36 Sm.upf
P 30.97 P.upf
CELL_PARAMETERS angstrom
7.414 0.000 0.000
0.000 4.283 0.000
-2.468 0.000 7.013
ATOMIC_POSITIONS crystal
Ac 0.000 0.000 0.000
Ac 0.500 0.500 0.000
Pm 0.000 0.500 0.500
Sm 0.500 0.000 0.500
P 0.245 0.000 0.734
P 0.256 0.500 0.267
P 0.744 0.500 0.733
P 0.755 0.000 0.266
```

---

Entry from Alexandria via LeMat-Bulk: a relaxed structure of Ac2TbPmP4 (PBE). Values from VASP.

energy relative to the elements	-1.49	eV per atom
space group	P2/m, No. 10
V	27.46	Å³/atom
total DFT energy (no corrections)	-6.396	eV/atom

Geometry as Quantum ESPRESSO input:
```
&SYSTEM
  ibrav = 0, nat = 8, ntyp = 4
/
ATOMIC_SPECIES
Ac 227.00 Ac.upf
Tb 158.93 Tb.upf
Pm 145.00 Pm.upf
P 30.97 P.upf
CELL_PARAMETERS angstrom
7.380 0.000 0.000
0.000 4.264 0.000
-2.457 0.000 6.980
ATOMIC_POSITIONS crystal
Ac 0.000 0.000 0.000
Ac 0.500 0.500 0.000
Tb 0.000 0.500 0.500
Pm 0.500 0.000 0.500
P 0.241 0.000 0.730
P 0.253 0.500 0.268
P 0.747 0.500 0.732
P 0.759 0.000 0.270
```

---

Entry from Alexandria via LeMat-Bulk: a relaxed structure of AcTbPm2P4 (PBE). Values from VASP.

energy relative to the elements	-1.51	eV per atom
space group	P2/m, No. 10
V	26.05	Å³/atom
total DFT energy (no corrections)	-6.493	eV/atom

Geometry as Quantum ESPRESSO input:
```
&SYSTEM
  ibrav = 0, nat = 8, ntyp = 4
/
ATOMIC_SPECIES
Ac 227.00 Ac.upf
Tb 158.93 Tb.upf
Pm 145.00 Pm.upf
P 30.97 P.upf
CELL_PARAMETERS angstrom
7.259 0.000 0.000
0.000 4.191 0.000
-2.406 0.000 6.849
ATOMIC_POSITIONS crystal
Ac 0.000 0.000 0.000
Tb 0.000 0.500 0.500
Pm 0.500 0.000 0.500
Pm 0.500 0.500 0.000
P 0.251 0.000 0.741
P 0.259 0.500 0.263
P 0.741 0.500 0.737
P 0.749 0.000 0.259
```

---

Entry from Alexandria via LeMat-Bulk: a relaxed structure of AcTb2PmP4 (PBE). Values from VASP.

energy relative to the elements	-1.52	eV per atom
space group	P2/m, No. 10
V	25.53	Å³/atom
total DFT energy (no corrections)	-6.494	eV/atom

Geometry as Quantum ESPRESSO input:
```
&SYSTEM
  ibrav = 0, nat = 8, ntyp = 4
/
ATOMIC_SPECIES
Ac 227.00 Ac.upf
Tb 158.93 Tb.upf
Pm 145.00 Pm.upf
P 30.97 P.upf
CELL_PARAMETERS angstrom
7.211 0.000 0.000
0.000 4.162 0.000
-2.394 0.000 6.804
ATOMIC_POSITIONS crystal
Ac 0.000 0.000 0.000
Tb 0.500 0.000 0.500
Tb 0.500 0.500 0.000
Pm 0.000 0.500 0.500
P 0.261 0.000 0.747
P 0.267 0.500 0.263
P 0.733 0.500 0.737
P 0.739 0.000 0.253
```

---

Entry from Alexandria via LeMat-Bulk: a relaxed structure of AcPm2ThP4 (PBE). Values from VASP.

energy relative to the elements	-1.53	eV per atom
space group	P2/m, No. 10
V	26.39	Å³/atom
total DFT energy (no corrections)	-6.868	eV/atom

Geometry as Quantum ESPRESSO input:
```
&SYSTEM
  ibrav = 0, nat = 8, ntyp = 4
/
ATOMIC_SPECIES
Ac 227.00 Ac.upf
Pm 145.00 Pm.upf
Th 232.04 Th.upf
P 30.97 P.upf
CELL_PARAMETERS angstrom
7.270 0.000 0.000
0.000 4.210 0.000
-2.430 0.000 6.897
ATOMIC_POSITIONS crystal
Ac 0.000 0.000 0.000
Pm 0.500 0.000 0.500
Pm 0.500 0.500 0.000
Th 0.000 0.500 0.500
P 0.253 0.000 0.742
P 0.259 0.500 0.263
P 0.741 0.500 0.737
P 0.747 0.000 0.258
```

---

Entry from Alexandria via LeMat-Bulk: a relaxed structure of AcPmTh2P4 (PBE). Values from VASP.

energy relative to the elements	-1.52	eV per atom
space group	P2/m, No. 10
V	26.47	Å³/atom
total DFT energy (no corrections)	-7.191	eV/atom

Geometry as Quantum ESPRESSO input:
```
&SYSTEM
  ibrav = 0, nat = 8, ntyp = 4
/
ATOMIC_SPECIES
Ac 227.00 Ac.upf
Pm 145.00 Pm.upf
Th 232.04 Th.upf
P 30.97 P.upf
CELL_PARAMETERS angstrom
7.297 0.000 0.000
0.000 4.212 0.000
-2.436 0.000 6.889
ATOMIC_POSITIONS crystal
Ac 0.000 0.000 0.000
Pm 0.500 0.500 0.000
Th 0.000 0.500 0.500
Th 0.500 0.000 0.500
P 0.253 0.000 0.741
P 0.261 0.500 0.265
P 0.739 0.500 0.735
P 0.747 0.000 0.259
```

---

Entry from Alexandria via LeMat-Bulk: a relaxed structure of Ac4PmTh3P8 (PBE). Values from VASP.

energy relative to the elements	-1.52	eV per atom
space group	R-3m, No. 166
V	27.81	Å³/atom
total DFT energy (no corrections)	-6.937	eV/atom

Geometry as Quantum ESPRESSO input:
```
&SYSTEM
  ibrav = 0, nat = 16, ntyp = 4
/
ATOMIC_SPECIES
Ac 227.00 Ac.upf
Pm 145.00 Pm.upf
Th 232.04 Th.upf
P 30.97 P.upf
CELL_PARAMETERS angstrom
4.270 2.465 7.044
-4.270 2.465 7.044
0.000 -4.931 7.044
ATOMIC_POSITIONS crystal
Ac 0.000 0.000 0.000
Ac 0.000 0.500 0.500
Ac 0.500 0.000 0.500
Ac 0.500 0.500 0.000
Pm 0.500 0.500 0.500
Th 0.000 0.000 0.500
Th 0.000 0.500 0.000
Th 0.500 0.000 0.000
P 0.241 0.744 0.744
P 0.243 0.243 0.243
P 0.256 0.256 0.759
P 0.256 0.759 0.256
P 0.744 0.241 0.744
P 0.744 0.744 0.241
P 0.757 0.757 0.757
P 0.759 0.256 0.256
```

---

Entry from Alexandria via LeMat-Bulk: a relaxed structure of Ac4Pm3UP8 (PBE). Values from VASP.

energy relative to the elements	-1.40	eV per atom
space group	R-3m, No. 166
V	27.35	Å³/atom
total DFT energy (no corrections)	-6.732	eV/atom

Geometry as Quantum ESPRESSO input:
```
&SYSTEM
  ibrav = 0, nat = 16, ntyp = 4
/
ATOMIC_SPECIES
Ac 227.00 Ac.upf
Pm 145.00 Pm.upf
U 238.03 U.upf
P 30.97 P.upf
CELL_PARAMETERS angstrom
4.251 2.454 6.991
-4.251 2.454 6.991
0.000 -4.908 6.991
ATOMIC_POSITIONS crystal
Ac 0.000 0.000 0.000
Ac 0.000 0.500 0.500
Ac 0.500 0.000 0.500
Ac 0.500 0.500 0.000
Pm 0.000 0.000 0.500
Pm 0.000 0.500 0.000
Pm 0.500 0.000 0.000
U 0.500 0.500 0.500
P 0.245 0.245 0.245
P 0.252 0.737 0.737
P 0.263 0.263 0.748
P 0.263 0.748 0.263
P 0.737 0.252 0.737
P 0.737 0.737 0.252
P 0.748 0.263 0.263
P 0.755 0.755 0.755
```

---

Entry from Alexandria via LeMat-Bulk: a relaxed structure of AcPmY2P4 (PBE). Values from VASP.

energy relative to the elements	-1.53	eV per atom
space group	P2/m, No. 10
V	25.40	Å³/atom
total DFT energy (no corrections)	-6.960	eV/atom

Geometry as Quantum ESPRESSO input:
```
&SYSTEM
  ibrav = 0, nat = 8, ntyp = 4
/
ATOMIC_SPECIES
Ac 227.00 Ac.upf
Pm 145.00 Pm.upf
Y 88.91 Y.upf
P 30.97 P.upf
CELL_PARAMETERS angstrom
7.197 0.000 0.000
0.000 4.157 0.000
-2.394 0.000 6.794
ATOMIC_POSITIONS crystal
Ac 0.000 0.000 0.000
Pm 0.000 0.500 0.500
Y 0.500 0.000 0.500
Y 0.500 0.500 0.000
P 0.262 0.000 0.747
P 0.268 0.500 0.263
P 0.732 0.500 0.737
P 0.738 0.000 0.253
```